# 1
A plane-wave DFT calculation with PBE was carried out for crystalline Sr2Br3 at its relaxed geometry.

- E (eV per atom) = -3.4133
- E_form (uncorrected) (eV per atom) = -1.7369

Cell and atoms, written as POSCAR:
```
Sr2Br3
1.0
7.5223 0.0000 0.0000
3.7612 6.5145 0.0000
3.7612 2.1715 8.0125
Br Sr
6 4
direct
0.0528 0.7500 0.7500 Br
0.5528 0.9472 0.2500 Br
0.2500 0.5528 0.2500 Br
0.9472 0.2500 0.2500 Br
0.4472 0.0528 0.7500 Br
0.7500 0.4472 0.7500 Br
0.3411 0.3411 0.9766 Sr
0.8411 0.8411 0.4766 Sr
0.1589 0.1589 0.5234 Sr
0.6589 0.6589 0.0234 Sr
```



# 2
A plane-wave DFT calculation with PBE was carried out for crystalline ZnAg2Te at its relaxed geometry.

- E (eV per atom) = -2.4815
- E_form (uncorrected) (eV per atom) = 0.0481

Cell and atoms, written as POSCAR:
```
ZnAg2Te
1.0
4.3945 0.0000 0.0000
0.0000 3.1359 0.0257
0.0000 -1.1634 6.2926
Zn Ag Te
1 2 1
direct
0.5000 0.7500 0.7500 Zn
0.0000 0.3972 0.5560 Ag
0.0000 0.1028 0.9440 Ag
0.5000 0.2500 0.2500 Te
```



# 3
A plane-wave DFT calculation with PBE was carried out for crystalline RbCu3Ge at its relaxed geometry.

- E (eV per atom) = -3.2999
- energy relative to the elements (eV per atom) = 0.275

Cell and atoms, written as POSCAR:
```
RbCu3Ge
1.0
4.7824 0.0000 0.0000
0.0000 4.7824 0.0000
0.0000 0.0000 4.7824
Ge Cu Rb
1 3 1
direct
0.0000 0.0000 0.0000 Ge
0.0000 0.5000 0.0000 Cu
0.0000 0.0000 0.5000 Cu
0.5000 0.0000 0.0000 Cu
0.5000 0.5000 0.5000 Rb
```



# 4
A plane-wave DFT calculation with PBE was carried out for crystalline Zn2FeAs at its relaxed geometry.

- E (eV per atom) = -3.7876
- energy relative to the elements (eV per atom) = 0.127

Cell and atoms, written as POSCAR:
```
Zn2FeAs
1.0
4.8435 -0.0056 -0.0116
1.8584 4.4729 0.0116
-3.3439 -2.2443 2.6911
Zn Fe As
2 1 1
direct
0.7500 0.2500 0.5000 Zn
0.0001 0.0001 0.0000 Zn
0.2500 0.7500 0.5000 Fe
0.4999 0.4999 0.0000 As
```



# 5
A plane-wave DFT calculation with PBE was carried out for crystalline ZrSc3Re at its relaxed geometry.

- E (eV per atom) = -6.5166
- energy relative to the elements (eV per atom) = 1.482

Cell and atoms, written as POSCAR:
```
ZrSc3Re
1.0
-2.5614 1.1215 -4.0203
3.0199 -2.7582 -2.6934
-2.8812 -3.8880 0.7511
Zr Sc Re
1 3 1
direct
0.0000 0.0000 0.0000 Zr
0.0000 0.0000 0.5000 Sc
0.0000 0.5000 0.0000 Sc
0.5000 0.0000 0.0000 Sc
0.5000 0.5000 0.5000 Re
```



# 6
A plane-wave DFT calculation with PBE was carried out for crystalline Cs2KCdTe at its relaxed geometry.

- E (eV per atom) = -1.8171
- E_form (uncorrected) (eV per atom) = -0.4448

Cell and atoms, written as POSCAR:
```
Cs2KCdTe
1.0
-4.0562 2.8256 -5.5433
-6.0902 -0.4487 4.2277
1.1414 6.1431 2.2962
K Cs Te Cd
1 2 1 1
direct
0.0000 0.0000 0.5000 K
0.5000 0.0000 0.0000 Cs
0.0000 0.5000 0.0000 Cs
0.0000 0.0000 0.0000 Te
0.5000 0.5000 0.5000 Cd
```



# 7
A plane-wave DFT calculation with PBE was carried out for crystalline Nd2GdSc at its relaxed geometry.

- E (eV per atom) = -7.3044
- energy relative to the elements (eV per atom) = 0.183

Cell and atoms, written as POSCAR:
```
Nd2GdSc
1.0
-0.5417 0.1244 3.4362
1.2361 -2.5275 2.0495
10.6988 5.4722 3.2515
Nd Sc Gd
2 1 1
direct
0.0915 0.0915 0.7254 Nd
0.9085 0.9085 0.2746 Nd
0.5000 0.5000 0.5000 Sc
0.0000 0.0000 0.0000 Gd
```



# 8
A plane-wave DFT calculation with PBE was carried out for crystalline MnBe2Au7 at its relaxed geometry.

- E (eV per atom) = -4.0401
- energy relative to the elements (eV per atom) = -0.084

Cell and atoms, written as POSCAR:
```
MnBe2Au7
1.0
0.1511 3.8606 1.3603
-1.3737 1.3301 -3.6223
-8.6731 -3.3721 4.3667
Au Be Mn
7 2 1
direct
0.7500 0.2500 0.5000 Au
0.2500 0.7500 0.5000 Au
0.3943 0.8943 0.7885 Au
0.5000 0.5000 0.0000 Au
0.8943 0.3943 0.7885 Au
0.6057 0.1057 0.2115 Au
0.1057 0.6057 0.2115 Au
0.6765 0.6765 0.3531 Be
0.3235 0.3235 0.6469 Be
0.0000 0.0000 0.0000 Mn
```



> Among the records above, which one has the highest E?

Cs2KCdTe